This record from the Alexandria database describes Tb3Pr2In4 after structural relaxation. The functional is GGA-PBE.

Mass density in g cm⁻³: 7.37
Polymorph energy (0 for the lowest one) in eV per atom: 0.0920
Calculated formation energy in eV/atom: -0.31

a = 7.118 Å, b = 16.931 Å, c = 9.107 Å
α = 90.00°, β = 90.00°, γ = 90.00°
Space group Cmce (No. 64)
Asymmetric unit:
Tb 0.000 0.000 0.000
Tb 0.250 0.221 0.250
Pr 0.000 0.108 0.578
In 0.000 0.181 0.961
In 0.250 0.039 0.250